The following is a PBE calculation of a relaxed CoAgGe2 crystal, from the Open Quantum Materials Database.

final energy = -17.4 eV per cell
space-group type = No. 216

POSCAR file:
```
CoAgGe2
1.0
1.536 0.049 4.221
2.097 3.643 1.585
-2.000 2.577 3.088
Ge Co Ag
2 1 1
direct
0.000 0.000 0.000 Ge
0.750 0.750 0.750 Ge
0.250 0.250 0.250 Co
0.500 0.500 0.500 Ag
```

The following is a PBE calculation of a relaxed Sm2Sc2CI2Br2Cl crystal, from the Open Quantum Materials Database.

final energy = -52.2 eV per cell
relative energy among the computed polymorphs = 0.079 eV per atom
space-group type = No. 12

POSCAR file:
```
Sm2Sc2CI2Br2Cl
1.0
-3.362 8.672 -0.583
-4.614 7.145 -3.809
-5.820 -3.733 4.025
I Sc Br Sm C Cl
2 2 2 2 1 1
direct
0.167 0.167 0.791 I
0.833 0.833 0.209 I
0.999 0.999 0.190 Sc
0.001 0.001 0.810 Sc
0.148 0.148 0.348 Br
0.852 0.852 0.652 Br
0.636 0.636 0.073 Sm
0.364 0.364 0.927 Sm
0.500 0.500 0.000 C
0.500 0.500 0.500 Cl
```

The following is a PBE calculation of a relaxed Na2TbO3 crystal, from the Open Quantum Materials Database.

final energy = -138.8 eV per cell
space-group type = No. 15

POSCAR file:
```
Na2TbO3
1.0
3.467 1.142 4.619
2.265 -0.041 -5.434
-4.050 10.260 -0.723
Tb O Na
4 12 8
direct
0.917 0.083 0.750 Tb
0.083 0.917 0.250 Tb
0.585 0.415 0.750 Tb
0.415 0.585 0.250 Tb
0.786 0.930 0.364 O
0.288 0.427 0.864 O
0.354 0.856 0.135 O
0.646 0.144 0.865 O
0.930 0.786 0.864 O
0.144 0.646 0.365 O
0.214 0.070 0.636 O
0.712 0.573 0.136 O
0.856 0.354 0.635 O
0.070 0.214 0.136 O
0.427 0.288 0.364 O
0.573 0.712 0.636 O
0.158 0.344 0.501 Na
0.251 0.749 0.750 Na
0.749 0.251 0.250 Na
0.344 0.158 0.001 Na
0.656 0.842 0.999 Na
0.500 0.000 0.500 Na
0.842 0.656 0.499 Na
0.000 0.500 0.000 Na
```

The following is a PBE calculation of a relaxed Li2ScIn2HgPt2 crystal, from the Open Quantum Materials Database.

final energy = -32.9 eV per cell
space-group type = No. 115

POSCAR file:
```
Li2ScIn2HgPt2
1.0
4.618 0.000 0.000
0.000 4.618 0.000
0.000 0.000 6.720
Li In Sc Pt Hg
2 2 1 2 1
direct
0.500 0.000 0.228 Li
0.000 0.500 0.772 Li
0.500 0.500 0.000 In
0.000 0.000 0.500 In
0.500 0.500 0.500 Sc
0.500 0.000 0.730 Pt
0.000 0.500 0.270 Pt
0.000 0.000 0.000 Hg
```

The following is a PBE calculation of a relaxed Lu4BiC2S crystal, from the Open Quantum Materials Database.

final energy = -52.6 eV per cell
space-group type = No. 187

POSCAR file:
```
Lu4BiC2S
1.0
3.601 0.000 0.000
-1.800 3.118 0.000
0.000 0.000 13.862
Lu C Bi S
4 2 1 1
direct
0.667 0.333 0.816 Lu
0.667 0.333 0.184 Lu
0.000 0.000 0.368 Lu
0.000 0.000 0.632 Lu
0.333 0.667 0.728 C
0.333 0.667 0.272 C
0.000 0.000 0.000 Bi
0.667 0.333 0.500 S
```

The following is a PBE calculation of a relaxed CdSnW crystal, from the Open Quantum Materials Database.

final energy = -14.4 eV per cell
relative energy among the computed polymorphs = 0.227 eV per atom
space-group type = No. 216

POSCAR file:
```
CdSnW
1.0
-4.421 -1.099 -0.723
-3.325 2.127 2.386
-2.804 2.990 -2.115
Cd Sn W
1 1 1
direct
0.250 0.250 0.250 Cd
0.000 0.000 0.000 Sn
0.750 0.750 0.750 W
```

- Number 3 is which compound?
  Na2TbO3

- The lowest final energy belongs to which entry?
  Na2TbO3